No. 1
Computed, not measured: La3Pt2Rh after structural relaxation at the PBE-GGA level of DFT.

The total energy is -6.696 eV/atom. The space-group type is Pnma (62). The calculation puts the energy of formation at -6.0 eV per formula unit.

a = 5.9787 Å, b = 8.4622 Å, c = 12.6146 Å
α = 90.00°, β = 90.00°, γ = 90.00°
Last column: nearest neighbours and their distance in Å.
Element x y z (fractional)
1 La 0.2502 0.6172 0.5814  3 Rh 2.94-2.99, 3 Pt 3.00-3.01
2 La 0.2502 0.1172 0.9186  3 Rh 2.94-2.99, 3 Pt 3.00-3.01
3 La 0.2504 0.6366 0.9206  1 Rh 2.92, 5 Pt 2.99-3.03
4 La 0.2504 0.1366 0.5794  1 Rh 2.92, 5 Pt 2.99-3.03
5 La 0.2494 0.6262 0.2483  2 Rh 2.94-2.97, 4 Pt 2.99-3.01
6 La 0.2494 0.1262 0.2517  2 Rh 2.94-2.97, 4 Pt 2.99-3.01
7 La 0.7506 0.8738 0.7483  2 Rh 2.94-2.97, 4 Pt 2.99-3.01
8 La 0.7506 0.3738 0.7517  2 Rh 2.94-2.97, 4 Pt 2.99-3.01
9 La 0.7496 0.8634 0.4206  1 Rh 2.92, 5 Pt 2.99-3.03
10 La 0.7496 0.3634 0.0794  1 Rh 2.92, 5 Pt 2.99-3.03
11 La 0.7498 0.8828 0.0814  3 Rh 2.94-2.99, 3 Pt 3.00-3.01
12 La 0.7498 0.3828 0.4186  3 Rh 2.94-2.99, 3 Pt 3.00-3.01
13 Pt 0.2506 0.8767 0.7444  6 La 2.99-3.03
14 Pt 0.2506 0.3767 0.7556  6 La 2.99-3.03
15 Pt 0.2497 0.8752 0.4184  6 La 2.99-3.01
16 Pt 0.2497 0.3752 0.0816  6 La 2.99-3.01
17 Pt 0.7503 0.6248 0.9184  6 La 2.99-3.01
18 Pt 0.7503 0.1248 0.5816  6 La 2.99-3.01
19 Pt 0.7494 0.6233 0.2444  6 La 2.99-3.03
20 Pt 0.7494 0.1233 0.2556  6 La 2.99-3.03
21 Rh 0.2498 0.8761 0.0869  6 La 2.92-2.99
22 Rh 0.2498 0.3761 0.4131  6 La 2.92-2.99
23 Rh 0.7502 0.6239 0.5869  6 La 2.92-2.99
24 Rh 0.7502 0.1239 0.9131  6 La 2.92-2.99

No. 2
Computed, not measured: LaPtRh4 after structural relaxation at the PBE-GGA level of DFT.

The total energy is -6.918 eV/atom. The space-group type is F-43m (216). The calculation puts the energy of formation at -1.1 eV per formula unit.

a = 5.2946 Å, b = 5.2946 Å, c = 5.2946 Å
α = 60.00°, β = 60.00°, γ = 60.00°
Last column: nearest neighbours and their distance in Å.
Element x y z (fractional)
1 La 0.7500 0.7500 0.7500  12 Rh 3.11, 4 Pt 3.24
2 Pt 0.0000 0.0000 0.0000  12 Rh 3.10, 4 La 3.24
3 Rh 0.8785 0.3738 0.3738  6 Rh 2.62-2.67
4 Rh 0.3738 0.3738 0.8785  6 Rh 2.62-2.67
5 Rh 0.3738 0.8785 0.3738  6 Rh 2.62-2.67
6 Rh 0.3738 0.3738 0.3738  6 Rh 2.62-2.67

No. 3
Computed, not measured: La4Pt2Rh after structural relaxation at the PBE-GGA level of DFT.

The total energy is -6.487 eV/atom. The space-group type is C2/m (12). The calculation puts the energy of formation at -6.3 eV per formula unit.

a = 4.3843 Å, b = 7.2904 Å, c = 7.8406 Å
α = 118.68°, β = 106.24°, γ = 90.00°
Last column: nearest neighbours and their distance in Å.
Element x y z (fractional)
1 La 0.1348 0.4780 0.2696  3 Pt 2.91-2.97, 1 Rh 3.03
2 La 0.8652 0.5220 0.7304  3 Pt 2.91-2.97, 1 Rh 3.03
3 La 0.3843 0.0586 0.7686  2 Rh 2.96, 3 Pt 2.98-3.03
4 La 0.6157 0.9414 0.2314  2 Rh 2.96, 3 Pt 2.98-3.03
5 Pt 0.2396 0.2345 0.4792  6 La 2.91-3.03, 1 Rh 3.13
6 Pt 0.7604 0.7655 0.5208  6 La 2.91-3.03, 1 Rh 3.13
7 Rh 0.0000 0.0000 0.0000  6 La 2.96-3.03, 2 Pt 3.13

No. 4
Computed, not measured: La7PtRh4 after structural relaxation at the PBE-GGA level of DFT.

The total energy is -6.572 eV/atom. The space-group type is Cm (8). The calculation puts the energy of formation at -8.9 eV per formula unit.

a = 4.0840 Å, b = 7.1828 Å, c = 12.5392 Å
α = 104.48°, β = 90.00°, γ = 106.52°
Last column: nearest neighbours and their distance in Å.
Element x y z (fractional)
1 La 0.7369 0.4738 0.3561  4 Rh 2.91-3.25, 1 Pt 2.96
2 La 0.2559 0.5117 0.6413  3 Rh 2.90-3.23, 2 Pt 2.94
3 La 0.3455 0.6910 0.9478  5 Rh 2.91-3.20
4 La 0.6568 0.3135 0.0527  5 Rh 2.91-3.18
5 La 0.0431 0.0862 0.7895  3 Rh 2.85-2.89, 1 Pt 2.99
6 La 0.9591 0.9182 0.2133  4 Rh 2.88-2.95
7 La 0.5020 0.0040 0.4970  2 Rh 2.86, 2 Pt 2.94
8 Pt 0.8832 0.7663 0.5758  6 La 2.94-2.99
9 Rh 0.6959 0.3918 0.8138  7 La 2.89-3.23
10 Rh 0.3053 0.6106 0.1879  7 La 2.90-3.25
11 Rh 0.0011 0.0022 0.0004  6 La 2.85-2.91
12 Rh 0.1152 0.2305 0.4246  6 La 2.86-2.95

No. 5
Computed, not measured: La2PtRh after structural relaxation at the PBE-GGA level of DFT.

The total energy is -6.589 eV/atom. The space-group type is Imm2 (44). The calculation puts the energy of formation at -3.1 eV per formula unit.

a = 6.6152 Å, b = 6.6152 Å, c = 6.6152 Å
α = 145.01°, β = 143.30°, γ = 51.61°
Last column: nearest neighbours and their distance in Å.
Element x y z (fractional)
1 La 0.0046 0.0046 0.0000  4 Pt 2.91
2 La 0.7433 0.2433 0.5000  4 Rh 2.92
3 Pt 0.4671 0.4671 0.0000  4 La 2.91, 2 Rh 2.94
4 Rh 0.2849 0.7849 0.5000  4 La 2.92, 2 Pt 2.94

No. 6
Computed, not measured: La8Pt2Rh3 after structural relaxation at the PBE-GGA level of DFT.

The total energy is -6.378 eV/atom. The space-group type is C2/m (12). The calculation puts the energy of formation at -9.4 eV per formula unit.

a = 8.6389 Å, b = 8.6389 Å, c = 7.0578 Å
α = 74.06°, β = 74.06°, γ = 56.26°
Last column: nearest neighbours and their distance in Å.
Element x y z (fractional)
1 La 0.3886 0.3886 0.9005  2 Rh 2.83, 1 Pt 2.99
2 La 0.6114 0.6114 0.0995  2 Rh 2.83, 1 Pt 2.99
3 La 0.8867 0.8867 0.9189  3 Rh 2.89-2.92, 1 Pt 3.06
4 La 0.1133 0.1133 0.0811  3 Rh 2.89-2.92, 1 Pt 3.06
5 La 0.8783 0.3599 0.5925  2 Rh 2.88-2.89, 2 Pt 3.02-3.04
6 La 0.3599 0.8783 0.5925  2 Rh 2.88-2.89, 2 Pt 3.02-3.04
7 La 0.6401 0.1217 0.4075  2 Rh 2.88-2.89, 2 Pt 3.02-3.04
8 La 0.1217 0.6401 0.4075  2 Rh 2.88-2.89, 2 Pt 3.02-3.04
9 Pt 0.7442 0.7442 0.3352  6 La 2.99-3.06
10 Pt 0.2558 0.2558 0.6648  6 La 2.99-3.06
11 Rh 0.0000 0.0000 0.5000  6 La 2.88-2.92
12 Rh 0.2582 0.7418 0.0000  6 La 2.83-2.89
13 Rh 0.7418 0.2582 0.0000  6 La 2.83-2.89

No. 7
Computed, not measured: LaPtRh after structural relaxation at the PBE-GGA level of DFT.

The total energy is -7.033 eV/atom. Its distance to the lowest polymorph of the same formula is 0 meV per atom. The space-group type is Imma (74). The calculation puts the energy of formation at -2.8 eV per formula unit.

a = 5.4999 Å, b = 5.4999 Å, c = 5.4999 Å
α = 89.95°, β = 120.46°, γ = 119.59°
Last column: nearest neighbours and their distance in Å.
Element x y z (fractional)
1 La 0.2500 0.1242 0.8742  6 Rh 3.21-3.22, 6 Pt 3.23, 4 La 3.35-3.39
2 La 0.7500 0.8758 0.1258  6 Rh 3.21-3.22, 6 Pt 3.23, 4 La 3.35-3.39
3 Pt 0.5000 0.5000 0.5000  2 Pt 2.73, 4 Rh 2.75
4 Pt 0.0000 0.5000 0.0000  2 Pt 2.73, 4 Rh 2.75
5 Rh 0.0000 0.5000 0.5000  4 Pt 2.75, 2 Rh 2.77
6 Rh 0.5000 0.0000 0.5000  4 Pt 2.75, 2 Rh 2.77

No. 8
Computed, not measured: La2PtRh after structural relaxation at the PBE-GGA level of DFT.

The total energy is -6.440 eV/atom. The space-group type is F-43m (216). The calculation puts the energy of formation at -2.5 eV per formula unit.

a = 4.9439 Å, b = 4.9439 Å, c = 4.9439 Å
α = 60.00°, β = 60.00°, γ = 60.00°
Last column: nearest neighbours and their distance in Å.
Element x y z (fractional)
1 La 0.0000 0.0000 0.0000  4 La 3.03, 4 Rh 3.03
2 La 0.7500 0.7500 0.7500  4 La 3.03, 4 Pt 3.03
3 Pt 0.5000 0.5000 0.5000  4 La 3.03, 4 Rh 3.03
4 Rh 0.2500 0.2500 0.2500  4 La 3.03, 4 Pt 3.03

No. 9
Computed, not measured: La2PtRh after structural relaxation at the PBE-GGA level of DFT.

The total energy is -6.713 eV/atom. The space-group type is R-3m (166). The calculation puts the energy of formation at -3.6 eV per formula unit.

a = 4.2064 Å, b = 4.2064 Å, c = 7.2854 Å
α = 73.27°, β = 73.27°, γ = 60.05°
Last column: nearest neighbours and their distance in Å.
Element x y z (fractional)
1 Rh 0.2500 0.2500 0.2500  6 La 2.94
2 Pt 0.7500 0.7500 0.7500  6 La 3.01
3 La 0.9971 0.9971 0.0086  3 Rh 2.94, 3 Pt 3.01
4 La 0.5029 0.5029 0.4914  3 Rh 2.94, 3 Pt 3.01

No. 10
Computed, not measured: La2Pt2Rh after structural relaxation at the PBE-GGA level of DFT.

The total energy is -6.731 eV/atom. The space-group type is P4/mbm (127). The calculation puts the energy of formation at -4.4 eV per formula unit.

a = 7.4804 Å, b = 7.4804 Å, c = 4.1003 Å
α = 90.00°, β = 90.00°, γ = 90.00°
Last column: nearest neighbours and their distance in Å.
Element x y z (fractional)
1 Rh 0.0000 0.0000 0.0000  4 Pt 2.92
2 Rh 0.5000 0.5000 0.0000  4 Pt 2.92
3 Pt 0.3676 0.8676 0.0000  1 Pt 2.80, 6 La 2.87-3.12, 2 Rh 2.92
4 Pt 0.8676 0.6324 0.0000  1 Pt 2.80, 6 La 2.87-3.12, 2 Rh 2.92
5 Pt 0.6324 0.1324 0.0000  1 Pt 2.80, 6 La 2.87-3.12, 2 Rh 2.92
6 Pt 0.1324 0.3676 0.0000  1 Pt 2.80, 6 La 2.87-3.12, 2 Rh 2.92
7 La 0.1783 0.6783 0.5000  6 Pt 2.87-3.12
8 La 0.6783 0.8217 0.5000  6 Pt 2.87-3.12
9 La 0.8217 0.3217 0.5000  6 Pt 2.87-3.12
10 La 0.3217 0.1783 0.5000  6 Pt 2.87-3.12

No. 11
Computed, not measured: La2PtRh after structural relaxation at the PBE-GGA level of DFT.

The total energy is -6.796 eV/atom. The space-group type is P2_1/m (11). The calculation puts the energy of formation at -3.9 eV per formula unit.

a = 4.4317 Å, b = 5.9393 Å, c = 7.9732 Å
α = 109.83°, β = 90.00°, γ = 90.00°
Last column: nearest neighbours and their distance in Å.
Element x y z (fractional)
1 La 0.7500 0.2248 0.4347  4 Rh 2.99-3.31, 3 Pt 3.06-3.19
2 La 0.2500 0.7752 0.5653  4 Rh 2.99-3.31, 3 Pt 3.06-3.19
3 La 0.2500 0.7735 0.0718  3 Rh 2.99-3.26, 4 Pt 3.04-3.19
4 La 0.7500 0.2265 0.9282  3 Rh 2.99-3.26, 4 Pt 3.04-3.19
5 Pt 0.2500 0.3244 0.2054  2 Rh 3.01, 7 La 3.04-3.19
6 Pt 0.7500 0.6756 0.7946  2 Rh 3.01, 7 La 3.04-3.19
7 Rh 0.7500 0.6890 0.2948  7 La 2.99-3.31, 2 Pt 3.01
8 Rh 0.2500 0.3110 0.7052  7 La 2.99-3.31, 2 Pt 3.01

No. 12
Computed, not measured: LaPt4Rh2 after structural relaxation at the PBE-GGA level of DFT.

The total energy is -6.758 eV/atom. The space-group type is I4/mmm (139). The calculation puts the energy of formation at -3.5 eV per formula unit.

a = 5.3394 Å, b = 5.4973 Å, c = 5.4973 Å
α = 76.36°, β = 60.97°, γ = 60.97°
Last column: nearest neighbours and their distance in Å.
Element x y z (fractional)
1 La 0.0000 0.0000 0.0000  4 Pt 2.89
2 Pt 0.6990 0.6017 0.0000  4 Pt 2.71-2.84, 4 Rh 2.79, 1 La 2.89
3 Pt 0.3009 0.3983 0.0000  4 Pt 2.71-2.84, 4 Rh 2.79, 1 La 2.89
4 Pt 0.6991 0.0000 0.6017  4 Pt 2.71-2.84, 4 Rh 2.79, 1 La 2.89
5 Pt 0.3009 0.0000 0.3983  4 Pt 2.71-2.84, 4 Rh 2.79, 1 La 2.89
6 Rh 0.7499 0.5001 0.5001  2 Rh 2.67, 8 Pt 2.79
7 Rh 0.2501 0.4999 0.4999  2 Rh 2.67, 8 Pt 2.79